Record 1
## AlRe2Si (PBE)

Data for crystalline AlRe2Si at its relaxed geometry.

ΔE_f (raw) (eV/atom): -0.114
Density of states at the Fermi level (states/eV per atom): 0.596
Relative energy among the computed polymorphs (meV/atom): 155

abc: 4.427 2.901 4.434
angles: 89.99 90.00 90.00
Sites, in units of the cell vectors:
Re  0.000  0.875  0.032
Re  0.500  0.375  0.219
Si  0.000  0.375  0.549
Al  0.500  0.875  0.700

Record 2
## BTe3Pb (PBE)

Data for crystalline BTe3Pb at its relaxed geometry.

ΔE_f (raw) (eV/atom): 1.496
Density of states at the Fermi level (states/eV per atom): 1.147
Relative energy among the computed polymorphs (meV/atom): 1022

abc: 5.874 5.874 5.874
angles: 90.00 90.00 90.00
Sites, in units of the cell vectors:
Pb  0.000  0.000  0.000
B  0.500  0.500  0.500
Te  0.000  0.500  0.000
Te  0.000  0.000  0.500
Te  0.500  0.000  0.000

Record 3
## InAs2PbO8 (PBE)

Data for crystalline InAs2PbO8 at its relaxed geometry.

ΔE_f (raw) (eV/atom): -1.103
Density of states at the Fermi level (states/eV per atom): 0.677
Relative energy among the computed polymorphs (meV/atom): 99

abc: 5.082 5.082 8.223
angles: 72.00 72.00 60.00
Site moments in Bohr magnetons follow the coordinates.
Sites, in units of the cell vectors:
In  0.500  0.500  0.500  -0.01
As  0.752  0.752  0.743  -0.01
As  0.248  0.248  0.257  -0.01
Pb  0.000  0.000  0.000  0.00
O  0.678  0.678  0.967  0.19
O  0.322  0.322  0.033  0.19
O  0.551  0.229  0.320  0.10
O  0.771  0.449  0.680  0.10
O  0.100  0.771  0.680  0.10
O  0.229  0.900  0.320  0.10
O  0.900  0.551  0.320  0.10
O  0.449  0.100  0.680  0.10

Record 4
## NaO2F (PBE)

Data for crystalline NaO2F at its relaxed geometry.

ΔE_f (raw) (eV/atom): -1.263
Density of states at the Fermi level (states/eV per atom): 0.000
Relative energy among the computed polymorphs (meV/atom): 0

abc: 7.608 3.190 4.513
angles: 45.08 112.80 120.62
Site moments in Bohr magnetons follow the coordinates.
Sites, in units of the cell vectors:
Na  0.113  0.806  0.499  0.00
O  0.529  0.876  0.568  0.81
O  0.696  0.055  0.715  0.80
F  0.113  0.805  0.000  -0.03